Material: Pd3N
Method: DFT, PBE
State: relaxed

## Properties
density = 8.10 g cm⁻³
E_form (uncorrected) = 0.469 eV per atom
E = -5.51 eV per atom

Lattice parameters (Å, degrees): 4.0878 4.0878 4.0878 90.00 90.00 90.00
Space group Pm-3m (No. 221)
Symmetry-distinct sites (fractional):
Pd 0.0000 0.0000 0.5000 [3 per cell]
N 0.0000 0.0000 0.0000 [1 per cell]

Material: Sm3ErBi4
Method: DFT, PBE
State: relaxed

## Properties
E above lowest polymorph = 0.0 kJ per mole of atoms
density = 9.19 g cm⁻³
E = -5.18 eV per atom

Lattice parameters (Å, degrees): 6.4051 6.4051 6.4051 90.00 90.00 90.00
Space group Pm-3m (No. 221)
Symmetry-distinct sites (fractional):
Sm 0.0000 0.0000 0.5000 [3 per cell]
Er 0.5000 0.5000 0.5000 [1 per cell]
Bi 0.0000 0.0000 0.0000 [1 per cell]
Bi 0.0000 0.5000 0.5000 [3 per cell]

Material: PmNdEuSc
Method: DFT, PBE
State: relaxed

## Properties
density = 6.10 g cm⁻³
E = -6.35 eV per atom

Lattice parameters (Å, degrees): 8.0886 8.0886 8.0886 90.00 90.00 90.00
Space group F-43m (No. 216)
Symmetry-distinct sites (fractional):
Pm 0.0000 0.0000 0.0000 [4 per cell]
Nd 0.2500 0.2500 0.2500 [4 per cell]
Eu 0.0000 0.0000 0.5000 [4 per cell]
Sc 0.2500 0.2500 0.7500 [4 per cell]

Material: LaPmPrHo2
Method: DFT, PBE
State: relaxed

## Properties
density = 6.95 g cm⁻³
E = -4.39 eV per atom

Lattice parameters (Å, degrees): 8.5221 11.6808 7.2403 90.00 90.00 90.00
Space group Cmcm (No. 63)
Symmetry-distinct sites (fractional):
La 0.0000 0.2337 0.2500 [4 per cell]
Pm 0.0000 0.2217 0.7500 [4 per cell]
Pr 0.0000 0.5004 0.2500 [4 per cell]
Ho 0.1865 0.0000 0.0000 [8 per cell]

Material: Cs2AgBF6
Method: DFT, PBE
State: relaxed

## Properties
density = 4.53 g cm⁻³
E_form (uncorrected) = -2.234 eV per atom
E = -4.48 eV per atom

Lattice parameters (Å, degrees): 6.3227 6.3227 9.1401 90.00 90.00 90.00
Space group I4/mmm (No. 139)
Symmetry-distinct sites (fractional):
Cs 0.0000 0.5000 0.2500 [4 per cell]
Ag 0.0000 0.0000 0.0000 [2 per cell]
B 0.0000 0.0000 0.5000 [2 per cell]
F 0.0000 0.0000 0.2318 [4 per cell]
F 0.1689 0.1689 0.5000 [8 per cell]

Material: ZnSiF3
Method: DFT, PBE
State: relaxed

## Properties
E above lowest polymorph = 0.0 kJ per mole of atoms
density = 3.48 g cm⁻³
E_form (uncorrected) = -1.372 eV per atom
E = -3.83 eV per atom

Lattice parameters (Å, degrees): 4.1564 4.1564 4.1564 90.00 90.00 90.00
Space group Pm-3m (No. 221)
Symmetry-distinct sites (fractional):
Zn 0.0000 0.0000 0.0000 [1 per cell]
Si 0.5000 0.5000 0.5000 [1 per cell]
F 0.0000 0.5000 0.5000 [3 per cell]

Material: MgMn2SnCl
Method: DFT, PBE
State: relaxed

## Properties
density = 3.29 g cm⁻³
E_form (uncorrected) = 0.654 eV per atom
E = -4.50 eV per atom

Lattice parameters (Å, degrees): 5.1616 5.1616 5.4556 90.00 90.00 90.00
Space group P4/mmm (No. 123)
Symmetry-distinct sites (fractional):
Mg 0.0000 0.0000 0.0000 [1 per cell]
Mn 0.0000 0.5000 0.5000 [2 per cell]
Sn 0.5000 0.5000 0.0000 [1 per cell]
Cl 0.0000 0.0000 0.5000 [1 per cell]

Material: NbAg2Os
Method: DFT, PBE
State: relaxed

## Properties
E above lowest polymorph = 145.6 kJ per mole of atoms
density = 8.24 g cm⁻³
E = -4.47 eV per atom

Lattice parameters (Å, degrees): 5.8900 5.8900 11.5906 90.00 90.00 90.00
Space group I-42d (No. 122)
Symmetry-distinct sites (fractional):
Nb 0.0000 0.0000 0.0000 [4 per cell]
Ag 0.2348 0.2500 0.6250 [8 per cell]
Os 0.0000 0.0000 0.5000 [4 per cell]

Material: BaInGa2Au5
Method: DFT, PBE
State: relaxed

## Properties
density = 10.09 g cm⁻³
E = -3.32 eV per atom

Lattice parameters (Å, degrees): 4.9659 4.9659 9.1824 90.00 90.00 90.00
Space group P4/mmm (No. 123)
Symmetry-distinct sites (fractional):
Ba 0.0000 0.0000 0.0000 [1 per cell]
In 0.0000 0.0000 0.5000 [1 per cell]
Ga 0.5000 0.5000 0.2740 [2 per cell]
Au 0.0000 0.5000 0.3329 [4 per cell]
Au 0.5000 0.5000 0.0000 [1 per cell]

Material: Hf2CrInH
Method: DFT, PBE
State: relaxed

## Properties
density = 10.57 g cm⁻³
E = -7.17 eV per atom

Lattice parameters (Å, degrees): 4.7146 4.7146 3.7092 90.00 90.00 90.00
Space group P4/mmm (No. 123)
Symmetry-distinct sites (fractional):
Hf 0.0000 0.5000 0.0000 [2 per cell]
Cr 0.0000 0.0000 0.5000 [1 per cell]
In 0.5000 0.5000 0.5000 [1 per cell]
H 0.0000 0.0000 0.0000 [1 per cell]

Material: Pa2Ga4Tc
Method: DFT, PBE
State: relaxed

## Properties
density = 10.31 g cm⁻³
E = -5.78 eV per atom

Lattice parameters (Å, degrees): 4.9771 18.8393 2.8814 90.00 90.00 90.00
Space group Cmmm (No. 65)
Symmetry-distinct sites (fractional):
Pa 0.0000 0.2189 0.0000 [4 per cell]
Ga 0.0000 0.0696 0.5000 [4 per cell]
Ga 0.0000 0.3819 0.0000 [4 per cell]
Tc 0.0000 0.5000 0.5000 [2 per cell]

Material: LiCa2HgF
Method: DFT, PBE
State: relaxed

## Properties
density = 4.76 g cm⁻³
E_form (uncorrected) = -1.343 eV per atom
E = -2.96 eV per atom

Lattice parameters (Å, degrees): 5.1251 5.1251 4.0728 90.00 90.00 90.00
Space group P4/mmm (No. 123)
Symmetry-distinct sites (fractional):
Li 0.0000 0.0000 0.0000 [1 per cell]
Ca 0.0000 0.5000 0.5000 [2 per cell]
Hg 0.5000 0.5000 0.0000 [1 per cell]
F 0.0000 0.0000 0.5000 [1 per cell]

Material: Gd2CuGe
Method: DFT, PBE
State: relaxed

## Properties
density = 8.32 g cm⁻³
E = -9.71 eV per atom

Lattice parameters (Å, degrees): 4.9432 4.9432 3.6816 90.00 90.00 90.00
Space group P4/mmm (No. 123)
Symmetry-distinct sites (fractional):
Gd 0.0000 0.5000 0.0000 [2 per cell]
Cu 0.0000 0.0000 0.5000 [1 per cell]
Ge 0.5000 0.5000 0.5000 [1 per cell]

Material: CaIn4Hg7
Method: DFT, PBE
State: relaxed

## Properties
E above lowest polymorph = 0.0 kJ per mole of atoms
density = 10.08 g cm⁻³
E = -1.36 eV per atom

Lattice parameters (Å, degrees): 5.7443 6.6808 9.0220 111.27 101.95 91.65
Space group P-1 (No. 2)
Symmetry-distinct sites (fractional):
Ca 0.0000 0.0000 0.0000 [1 per cell]
In 0.2215 0.7916 0.6526 [2 per cell]
In 0.2730 0.9043 0.3363 [2 per cell]
Hg 0.0000 0.5000 0.0000 [1 per cell]
Hg 0.2341 0.3085 0.6710 [2 per cell]
Hg 0.2748 0.4017 0.3268 [2 per cell]
Hg 0.4915 0.7526 0.0018 [2 per cell]

Material: Nd2TiZn3Pt4
Method: DFT, PBE
State: relaxed

## Properties
density = 11.30 g cm⁻³
E = -5.32 eV per atom

Lattice parameters (Å, degrees): 4.1420 4.1420 11.2410 90.00 90.00 90.00
Space group P-4m2 (No. 115)
Symmetry-distinct sites (fractional):
Nd 0.0000 0.5000 0.2379 [2 per cell]
Ti 0.0000 0.0000 0.5000 [1 per cell]
Zn 0.0000 0.5000 0.8669 [2 per cell]
Zn 0.5000 0.5000 0.5000 [1 per cell]
Pt 0.0000 0.0000 0.0000 [1 per cell]
Pt 0.0000 0.5000 0.6415 [2 per cell]
Pt 0.5000 0.5000 0.0000 [1 per cell]

Material: Ce4Sb3H2
Method: DFT, PBE
State: relaxed

## Properties
E above lowest polymorph = 3.1 kJ per mole of atoms
density = 6.65 g cm⁻³
E = -5.52 eV per atom

Lattice parameters (Å, degrees): 12.8667 10.1361 7.2773 90.00 102.47 90.00
Space group C2/c (No. 15)
Symmetry-distinct sites (fractional):
Ce 0.1094 0.1888 0.0382 [8 per cell]
Ce 0.1782 0.4319 0.6106 [8 per cell]
Sb 0.0000 0.4118 0.2500 [4 per cell]
Sb 0.1425 0.1226 0.6213 [8 per cell]
H 0.2061 0.3698 0.9364 [8 per cell]

Material: Nd2AlSe5
Method: DFT, PBE
State: relaxed

## Properties
density = 5.45 g cm⁻³
E_form (uncorrected) = -1.306 eV per atom
E = -5.14 eV per atom

Lattice parameters (Å, degrees): 5.8582 6.0956 7.1601 113.26 97.94 106.14
Space group P1 (No. 1)
Symmetry-distinct sites (fractional):
Nd 0.0000 0.0000 0.0000 [1 per cell]
Nd 0.4440 0.0224 0.5442 [1 per cell]
Al 0.5924 0.4421 0.2412 [1 per cell]
Se 0.2726 0.4324 0.4324 [1 per cell]
Se 0.3383 0.3862 0.9105 [1 per cell]
Se 0.5348 0.9993 0.1359 [1 per cell]
Se 0.8569 0.4219 0.9310 [1 per cell]
Se 0.8917 0.8423 0.5173 [1 per cell]

Material: CeMg3Au3
Method: DFT, PBE
State: relaxed

## Properties
E above lowest polymorph = 41.0 kJ per mole of atoms
density = 6.97 g cm⁻³
E = -3.04 eV per atom

Lattice parameters (Å, degrees): 7.2622 7.2622 7.2622 90.00 90.00 90.00
Space group Pm-3n (No. 223)
Symmetry-distinct sites (fractional):
Ce 0.0000 0.0000 0.0000 [2 per cell]
Mg 0.0000 0.2500 0.5000 [6 per cell]
Au 0.0000 0.5000 0.2500 [6 per cell]

Material: NpClO
Method: DFT, PBE
State: relaxed

## Properties
density = 7.28 g cm⁻³
E_form (uncorrected) = -2.251 eV per atom
E = -8.83 eV per atom

Lattice parameters (Å, degrees): 3.7141 3.7141 5.5067 90.00 90.00 120.00
Space group P3m1 (No. 156)
Symmetry-distinct sites (fractional):
Np 0.0000 0.0000 0.0000 [1 per cell]
Cl 0.6667 0.3333 0.6499 [1 per cell]
O 0.3333 0.6667 0.1130 [1 per cell]

Material: NaTlSeN2
Method: DFT, PBE
State: relaxed

## Properties
E above lowest polymorph = 0.0 kJ per mole of atoms
density = 4.76 g cm⁻³
E_form (uncorrected) = 1.322 eV per atom
E = -3.44 eV per atom

Lattice parameters (Å, degrees): 4.5277 4.5277 5.6868 90.00 90.00 90.00
Space group P4/mmm (No. 123)
Symmetry-distinct sites (fractional):
Na 0.0000 0.0000 0.0000 [1 per cell]
Tl 0.5000 0.5000 0.5000 [1 per cell]
Se 0.5000 0.5000 0.0000 [1 per cell]
N 0.0000 0.5000 0.5000 [2 per cell]

Material: Tm2InHg6
Method: DFT, PBE
State: relaxed

## Properties
E above lowest polymorph = 9.3 kJ per mole of atoms
density = 12.36 g cm⁻³
E = -1.63 eV per atom

Lattice parameters (Å, degrees): 11.5903 6.6964 5.7340 90.00 90.22 90.00
Space group C2/m (No. 12)
Symmetry-distinct sites (fractional):
Tm 0.1670 0.0000 0.3159 [4 per cell]
In 0.0000 0.5000 0.5000 [2 per cell]
Hg 0.0927 0.2215 0.8189 [8 per cell]
Hg 0.1856 0.5000 0.1828 [4 per cell]

Material: Zr3FeOs
Method: DFT, PBE
State: relaxed

## Properties
E above lowest polymorph = 0.0 kJ per mole of atoms
density = 8.39 g cm⁻³
E = -8.52 eV per atom

Lattice parameters (Å, degrees): 4.6848 4.6848 4.6848 90.00 90.00 90.00
Space group Pm-3m (No. 221)
Symmetry-distinct sites (fractional):
Zr 0.0000 0.0000 0.5000 [3 per cell]
Fe 0.0000 0.0000 0.0000 [1 per cell]
Os 0.5000 0.5000 0.5000 [1 per cell]

Material: CsNa4I5
Method: DFT, PBE
State: relaxed

## Properties
density = 3.50 g cm⁻³
E_form (uncorrected) = -1.286 eV per atom
E = -2.67 eV per atom

Lattice parameters (Å, degrees): 15.5834 4.7089 12.5000 90.00 117.37 90.00
Space group C2/m (No. 12)
Symmetry-distinct sites (fractional):
Cs 0.0000 0.0000 0.0000 [2 per cell]
Na 0.0988 0.5000 0.4046 [4 per cell]
Na 0.1833 0.0000 0.7530 [4 per cell]
I 0.0000 0.0000 0.5000 [2 per cell]
I 0.1037 0.5000 0.8526 [4 per cell]
I 0.2078 0.0000 0.3245 [4 per cell]

Material: CoReTc2
Method: DFT, PBE
State: relaxed

## Properties
E above lowest polymorph = 7.3 kJ per mole of atoms
density = 13.27 g cm⁻³
E = -9.97 eV per atom

Lattice parameters (Å, degrees): 5.3620 7.6379 2.6968 90.00 90.00 90.00
Space group Cmmm (No. 65)
Symmetry-distinct sites (fractional):
Co 0.0000 0.0000 0.0000 [2 per cell]
Re 0.0000 0.5000 0.0000 [2 per cell]
Tc 0.2500 0.2500 0.5000 [4 per cell]